Entry 1:
Entry from Alexandria: an optimized crystal structure of Th3Al2Au7 (PBE-GGA).

Cell and atoms, written as POSCAR:
```
Th3Al2Au7
1.0
4.373 0.000 0.000
0.000 4.373 0.000
-2.187 -2.187 14.128
Au Al Th
7 2 3
Cartesian
2.187 0.000 11.832 Au
2.187 2.187 7.945 Au
0.000 2.187 2.296 Au
0.000 0.000 6.183 Au
0.000 0.000 0.000 Au
0.000 2.187 11.832 Au
2.187 0.000 2.296 Au
2.187 2.187 10.491 Al
0.000 0.000 3.636 Al
2.187 2.187 0.000 Th
2.187 2.187 4.928 Th
0.000 0.000 9.200 Th
```

Values from the calculation:
**M_tot**: 0.000 μB per cell
**V**: 270.2 Å³/cell
**Uncorrected energy**: -4.86 eV/atom
**SG**: No. 139

Entry 2:
Entry from Alexandria: an optimized crystal structure of Th2Al3Au4 (PBE-GGA).

Cell and atoms, written as POSCAR:
```
Th2Al3Au4
1.0
6.117 0.000 0.000
0.000 7.799 0.000
-3.058 0.000 7.831
Au Al Th
8 6 4
Cartesian
3.058 4.092 2.837 Au
4.588 1.950 0.873 Au
1.529 5.849 6.958 Au
1.529 1.950 0.873 Au
0.000 7.606 2.837 Au
0.000 3.707 4.995 Au
-1.529 5.849 6.958 Au
3.058 0.193 4.995 Au
0.000 0.000 0.000 Al
-1.529 5.849 4.286 Al
4.588 1.950 3.545 Al
1.529 1.950 3.545 Al
1.529 5.849 4.286 Al
3.058 3.899 0.000 Al
0.000 4.627 1.734 Th
3.058 7.071 1.734 Th
0.000 0.727 6.097 Th
3.058 3.172 6.097 Th
```

Values from the calculation:
**M_tot**: 0.000 μB per cell
**V**: 373.6 Å³/cell
**Uncorrected energy**: -4.95 eV/atom
**SG**: No. 64